An optimized crystal structure of RbFeAu3. Source: the Alexandria database, functional PBE-GGA.

Cell: 5.810 5.810 5.810 Å, 90.00 90.00 90.00°
Fractional coordinates of all 5 atoms:
1 Rb 0.000 0.000 0.000
2 Fe 0.500 0.500 0.500
3 Au 0.000 0.000 0.500
4 Au 0.000 0.500 0.000
5 Au 0.500 0.000 0.000

Calculated values
total DFT energy (no corrections): -2.07 eV per atom
crystal system: cubic
E_form: 1.7816 eV/atom
calculated volume: 39.218 Å³ per atom
offset from the most stable computed form: 1.570 eV per atom